Material: YSc2Ag2
Method: DFT, PBE
State: optimized geometry

a = 6.9855 Å, b = 6.9855 Å, c = 6.9855 Å
α = 143.13°, β = 143.13°, γ = 53.13°
Closest atoms and distances in Å follow each position.
Sites, in units of the cell vectors:
Y1 0.0000 0.0000 0.0000  8 Ag 3.39
Sc1 0.2500 0.7500 0.5000  4 Ag 2.85, 4 Sc 3.12
Sc2 0.7500 0.2500 0.5000  4 Ag 2.85, 4 Sc 3.12
Ag1 0.3936 0.3936 0.0000  1 Ag 2.66, 4 Sc 2.85
Ag2 0.6064 0.6064 0.0000  1 Ag 2.66, 4 Sc 2.85

Summary:
final energy = -25.128 eV for the cell shown
calculated formation energy = -0.0598 eV/atom
energy relative to the lowest polymorph listed for this composition = 154 meV/atom
crystal system = tetragonal
space-group type = I4/mmm